The following is a PBE calculation of TlGeSF2 after structural relaxation, from Alexandria.

Structure (POSCAR):
```
TlGeSF2
1.0
4.3870 0.0000 0.0000
0.0000 4.3870 0.0000
0.0000 0.0000 4.8427
Tl Ge S F
1 1 1 2
Direct
0.0000 0.0000 0.0000
0.5000 0.5000 0.5000
0.5000 0.5000 0.0000
0.0000 0.5000 0.5000
0.5000 0.0000 0.5000
```

Output
As for the spin magnetization: 0.00 μB per cell. Its space group is P4/mmm, No. 123.

The following is a PBE calculation of GeSb2F after structural relaxation, from Alexandria.

Structure (POSCAR):
```
GeSb2F
1.0
6.8612 0.0000 0.0000
0.0000 6.8612 0.0000
0.0000 0.0000 6.8612
Ge Sb F
4 8 4
Direct
0.0000 0.0000 0.0000
0.0000 0.5000 0.5000
0.5000 0.0000 0.5000
0.5000 0.5000 0.0000
0.2500 0.2500 0.2500
0.2500 0.2500 0.7500
0.2500 0.7500 0.2500
0.2500 0.7500 0.7500
0.7500 0.2500 0.2500
0.7500 0.2500 0.7500
0.7500 0.7500 0.2500
0.7500 0.7500 0.7500
0.0000 0.0000 0.5000
0.0000 0.5000 0.0000
0.5000 0.0000 0.0000
0.5000 0.5000 0.5000
```

Output
As for the spin magnetization: 0.00 μB per cell. Its space group is Fm-3m, No. 225. As for the polymorph energy (0 for the lowest one): 0.000 eV/atom.

The following is a PBE calculation of GeSbF2 after structural relaxation, from Alexandria.

Structure (POSCAR):
```
GeSbF2
1.0
6.3792 0.0000 0.0000
0.0000 6.3792 0.0000
0.0000 0.0000 6.3792
Ge Sb F
4 4 8
Direct
0.0000 0.0000 0.0000
0.0000 0.5000 0.5000
0.5000 0.0000 0.5000
0.5000 0.5000 0.0000
0.0000 0.0000 0.5000
0.0000 0.5000 0.0000
0.5000 0.0000 0.0000
0.5000 0.5000 0.5000
0.2500 0.2500 0.2500
0.2500 0.2500 0.7500
0.2500 0.7500 0.2500
0.2500 0.7500 0.7500
0.7500 0.2500 0.2500
0.7500 0.2500 0.7500
0.7500 0.7500 0.2500
0.7500 0.7500 0.7500
```

Output
As for the spin magnetization: 0.00 μB per cell. Its space group is Fm-3m, No. 225. As for the polymorph energy (0 for the lowest one): 0.417 eV/atom.

The following is a PBE calculation of GeSb3F after structural relaxation, from Alexandria.

Structure (POSCAR):
```
GeSb3F
1.0
4.9464 0.0000 0.0000
0.0000 4.9464 0.0000
0.0000 0.0000 4.9464
Ge Sb F
1 3 1
Direct
0.0000 0.0000 0.0000
0.0000 0.5000 0.5000
0.5000 0.0000 0.5000
0.5000 0.5000 0.0000
0.5000 0.5000 0.5000
```

Output
As for the spin magnetization: 0.00 μB per cell. Its space group is Pm-3m, No. 221. As for the polymorph energy (0 for the lowest one): 0.000 eV/atom.

The following is a PBE calculation of GeSbF6 after structural relaxation, from Alexandria.

Structure (POSCAR):
```
GeSbF6
1.0
5.4253 0.0000 0.0000
0.0000 8.7349 0.0000
-1.0992 0.0000 5.2584
Ge Sb F
2 2 12
Direct
0.0000 0.0000 0.0000
0.5000 0.5000 0.0000
0.0000 0.5000 0.5000
0.5000 0.0000 0.5000
0.2260 0.1496 0.2448
0.2260 0.8504 0.2448
0.2500 0.0000 0.7707
0.2500 0.5000 0.2293
0.2740 0.3504 0.7552
0.2740 0.6496 0.7552
0.7260 0.3504 0.2448
0.7260 0.6496 0.2448
0.7500 0.0000 0.2293
0.7500 0.5000 0.7707
0.7740 0.1496 0.7552
0.7740 0.8504 0.7552
```

Output
As for the spin magnetization: 0.00 μB per cell. Its space group is C2/m, No. 12.

The following is a PBE calculation of Ge2SbF8 after structural relaxation, from Alexandria.

Structure (POSCAR):
```
Ge2SbF8
1.0
4.9774 -3.6998 0.0000
4.9774 3.6998 0.0000
-1.4636 0.0000 5.0161
Ge Sb F
2 1 8
Direct
0.1478 0.1478 0.2573
0.8522 0.8522 0.7427
0.5000 0.5000 0.0000
0.0970 0.0970 0.8810
0.1782 0.5879 0.7669
0.3580 0.3580 0.2295
0.4121 0.8218 0.2331
0.5879 0.1782 0.7669
0.6420 0.6420 0.7705
0.8218 0.4121 0.2331
0.9030 0.9030 0.1190
```

Output
As for the spin magnetization: 0.00 μB per cell. Its space group is C2/m, No. 12.

The following is a PBE calculation of GeSbF2 after structural relaxation, from Alexandria.

Structure (POSCAR):
```
GeSbF2
1.0
6.4575 0.0000 0.0000
0.0000 6.4575 0.0000
0.0000 0.0000 8.9429
Ge Sb F
4 4 8
Direct
0.0000 0.0000 0.0000
0.0000 0.5000 0.2500
0.5000 0.0000 0.7500
0.5000 0.5000 0.5000
0.0000 0.0000 0.5000
0.0000 0.5000 0.7500
0.5000 0.0000 0.2500
0.5000 0.5000 0.0000
0.1124 0.2500 0.1250
0.2500 0.6124 0.3750
0.2500 0.8876 0.8750
0.3876 0.2500 0.6250
0.6124 0.7500 0.6250
0.7500 0.1124 0.8750
0.7500 0.3876 0.3750
0.8876 0.7500 0.1250
```

Output
As for the spin magnetization: 0.00 μB per cell. Its space group is I-42d, No. 122. As for the polymorph energy (0 for the lowest one): 0.254 eV/atom.

The following is a PBE calculation of GeSbF3 after structural relaxation, from Alexandria.

Structure (POSCAR):
```
GeSbF3
1.0
4.4755 0.0000 0.0000
0.0000 4.4755 0.0000
0.0000 0.0000 4.4755
Ge Sb F
1 1 3
Direct
0.0000 0.0000 0.0000
0.5000 0.5000 0.5000
0.0000 0.0000 0.5000
0.0000 0.5000 0.0000
0.5000 0.0000 0.0000
```

Output
As for the spin magnetization: 2.01 μB per cell. Its space group is Pm-3m, No. 221. As for the polymorph energy (0 for the lowest one): 0.000 eV/atom.

Results for E_form (uncorrected): -1296, -404, -720, 25, -2099, -2144, -883, -1178 (in meV/atom, following the order of the records).